# 1
DFT (PBE) results for an optimized crystal structure of Fe4Bi2As.

Unit cell a=4.4307 b=4.4307 c=13.8737 alpha=90.00 beta=90.00 gamma=90.00
Closest atoms and distances in Å follow each position.
Space group I4/mmm (No. 139)
Symmetry-distinct sites (fractional):
Fe1 0.0000 0.0000 0.1636  1 As 2.27
Fe2 0.0000 0.5000 0.0000  2 As 2.22
Bi1 0.0000 0.0000 0.3563  5 Fe 2.67-2.98
As1 0.0000 0.0000 0.0000  6 Fe 2.22-2.27

Computed properties:
calculated formation energy = 0.632 eV per atom
total energy = -5.98 eV/atom
D(E_F) = 12.289 states/eV/cell

# 2
DFT (PBE) results for an optimized crystal structure of ZnInHg4.

Unit cell a=6.4910 b=6.2279 c=8.5327 alpha=90.00 beta=112.07 gamma=90.00
Closest atoms and distances in Å follow each position.
Space group P2_1/c (No. 14)
Symmetry-distinct sites (fractional):
Zn1 0.0000 0.0000 0.0000  6 Hg 2.73-3.04
In1 0.5000 0.0000 0.0000  6 Hg 2.98-3.06, 2 Zn 3.25
Hg1 0.1609 0.1490 0.3253  2 Zn 2.73-3.04, 1 In 3.06
Hg2 0.3063 0.6379 0.1399  1 Zn 2.95, 2 In 2.98-3.04, 2 Hg 3.06-3.16

Computed properties:
calculated formation energy = 0.058 eV per atom
total energy = -0.81 eV/atom
D(E_F) = 3.412 states/eV/cell

# 3
DFT (PBE) results for an optimized crystal structure of NaCdGa2.

Unit cell a=3.4560 b=3.4560 c=7.5163 alpha=90.00 beta=90.00 gamma=90.00
Closest atoms and distances in Å follow each position.
Space group P4/mmm (No. 123)
Symmetry-distinct sites (fractional):
Na1 0.0000 0.0000 0.0000  8 Ga 3.23, 4 Na 3.46
Cd1 0.0000 0.0000 0.5000  8 Ga 2.95
Ga1 0.5000 0.5000 0.2803  4 Cd 2.95, 4 Na 3.23, 1 Ga 3.30

Computed properties:
calculated formation energy = -0.011 eV per atom
total energy = -2.08 eV/atom
D(E_F) = 1.273 states/eV/cell

# 4
DFT (PBE) results for an optimized crystal structure of TaCu2Hg.

Unit cell a=2.9149 b=2.9149 c=7.4373 alpha=90.00 beta=90.00 gamma=90.00
Closest atoms and distances in Å follow each position.
Space group P4mm (No. 99)
Symmetry-distinct sites (fractional):
Ta1 0.0000 0.0000 0.0000  4 Cu 2.71, 4 Ta 2.91
Cu1 0.0000 0.0000 0.4302  4 Cu 2.51
Cu2 0.5000 0.5000 0.2365  4 Cu 2.51, 4 Ta 2.71
Hg1 0.5000 0.5000 0.6943  4 Cu 2.85, 4 Hg 2.91, 4 Ta 3.07

Computed properties:
calculated formation energy = 0.208 eV per atom
total energy = -4.88 eV/atom
D(E_F) = 3.743 states/eV/cell

# 5
DFT (PBE) results for an optimized crystal structure of BaTe2W.

Unit cell a=4.4247 b=4.4247 c=21.3141 alpha=90.00 beta=90.00 gamma=120.00
Closest atoms and distances in Å follow each position.
Space group R-3m (No. 166, hexagonal axes)
Symmetry-distinct sites (fractional):
Ba1 0.0000 0.0000 0.0000  6 Te 3.42
Te1 0.0000 0.0000 0.2269  3 W 2.86
W1 0.0000 0.0000 0.5000  6 Te 2.86

Computed properties:
raw formation energy = -22 kJ/mol of atoms
total energy = -5.52 eV/atom
D(E_F) = 4.643 states/eV/cell

# 6
DFT (PBE) results for an optimized crystal structure of LuScCoAu.

Unit cell a=6.6949 b=6.6949 c=6.6949 alpha=90.00 beta=90.00 gamma=90.00
Closest atoms and distances in Å follow each position.
Space group F-43m (No. 216)
Symmetry-distinct sites (fractional):
Lu1 0.0000 0.0000 0.0000  4 Co 2.90, 4 Au 2.90
Sc1 0.0000 0.0000 0.5000  4 Co 2.90, 4 Au 2.90
Co1 0.2500 0.2500 0.7500  4 Sc 2.90, 4 Lu 2.90
Au1 0.2500 0.2500 0.2500  4 Sc 2.90, 4 Lu 2.90

Computed properties:
calculated formation energy = -0.506 eV per atom
total energy = -5.81 eV/atom
D(E_F) = 11.110 states/eV/cell

# 7
DFT (PBE) results for an optimized crystal structure of LiCd3Ni.

Unit cell a=4.4837 b=4.4987 c=8.8753 alpha=90.00 beta=104.53 gamma=90.00
Closest atoms and distances in Å follow each position.
Space group P2_1/m (No. 11)
Symmetry-distinct sites (fractional):
Li1 0.1598 0.2500 0.3195  8 Cd 2.72-2.79
Cd1 0.0637 0.7500 0.1269  2 Ni 2.75, 2 Li 2.79
Cd2 0.2501 0.7500 0.5008  4 Li 2.72-2.74, 4 Ni 2.77
Cd3 0.4369 0.7500 0.8735  2 Ni 2.76, 2 Li 2.79
Ni1 0.3440 0.2500 0.6882  8 Cd 2.75-2.77

Computed properties:
calculated formation energy = -0.118 eV per atom
total energy = -2.21 eV/atom
D(E_F) = 2.592 states/eV/cell

# 8
DFT (PBE) results for an optimized crystal structure of Pm3NiPb.

Unit cell a=5.3305 b=5.3305 c=5.3305 alpha=90.00 beta=90.00 gamma=90.00
Closest atoms and distances in Å follow each position.
Space group Pm-3m (No. 221)
Symmetry-distinct sites (fractional):
Pm1 0.0000 0.0000 0.5000  2 Ni 2.67
Ni1 0.0000 0.0000 0.0000  6 Pm 2.67
Pb1 0.5000 0.5000 0.5000  12 Pm 3.77

Computed properties:
calculated formation energy = -0.266 eV per atom
total energy = -5.01 eV/atom
D(E_F) = 5.954 states/eV/cell